1.
# Cu2Ir2Pt PBE optimized geometry
data_Cu2Ir2Pt
_cell_length_a 7.152
_cell_length_b 7.152
_cell_length_c 2.813
_cell_angle_alpha 90.00
_cell_angle_beta 90.00
_cell_angle_gamma 90.00
_space_group_name_H-M_alt 'P 4/m b m'
_space_group_IT_number 127
_space_group_name_Hall '-P 4 2ab'
loop_
_atom_site_label
_atom_site_fract_x
_atom_site_fract_y
_atom_site_fract_z
Cu1 0.170 0.330 0.000
Ir1 0.128 0.628 0.500
Pt1 0.000 0.000 0.500
# Density in g/cm3: 16.3
# Formation energy in meV/atom: 338
# Distance to the lowest polymorph of the same formula in eV per atom: 0.000
# Energy in eV per atom: -6.05

=====

2.
# PuSbRhO6 PBE optimized geometry
data_PuSbRhO6
_cell_length_a 5.4637
_cell_length_b 5.4637
_cell_length_c 8.7499
_cell_angle_alpha 90.00
_cell_angle_beta 90.00
_cell_angle_gamma 120.00
_space_group_name_H-M_alt 'P -3 1 c'
_space_group_IT_number 163
_space_group_name_Hall '-P 3 2c'
loop_
_atom_site_label
_atom_site_fract_x
_atom_site_fract_y
_atom_site_fract_z
Pu1 0.3333 0.6667 0.2500
Sb1 0.3333 0.6667 0.7500
Rh1 0.0000 0.0000 0.0000
O1 0.0217 0.3443 0.6243
# Density in g/cm3: 8.3
# Energy in eV per atom: -7.70
# E_form (uncorrected) in eV/atom: -1.52

=====

3.
# Ce4Rh4Au PBE optimized geometry
data_Ce4Rh4Au
_cell_length_a 8.829
_cell_length_b 8.829
_cell_length_c 5.409
_cell_angle_alpha 90.00
_cell_angle_beta 90.00
_cell_angle_gamma 90.00
_space_group_name_H-M_alt 'I 4/m'
_space_group_IT_number 87
_space_group_name_Hall '-I 4'
loop_
_atom_site_label
_atom_site_fract_x
_atom_site_fract_y
_atom_site_fract_z
Ce1 0.094 0.702 0.000
Rh1 0.102 0.714 0.500
Au1 0.000 0.000 0.500
# Density in g/cm3: 9.2
# Formation energy in meV/atom: -558
# Energy in eV per atom: -6.83

=====

4.
# HfTaZnHg2 PBE optimized geometry
data_HfTaZnHg2
_cell_length_a 4.737
_cell_length_b 4.737
_cell_length_c 5.033
_cell_angle_alpha 90.00
_cell_angle_beta 90.00
_cell_angle_gamma 90.00
_space_group_name_H-M_alt 'P 4/m m m'
_space_group_IT_number 123
_space_group_name_Hall '-P 4 2'
loop_
_atom_site_label
_atom_site_fract_x
_atom_site_fract_y
_atom_site_fract_z
Hf1 0.000 0.000 0.000
Ta1 0.500 0.500 0.000
Zn1 0.000 0.000 0.500
Hg1 0.000 0.500 0.500
# Density in g/cm3: 12.1
# Formation energy in meV/atom: 1067
# Energy in eV per atom: -3.67